This record from the Alexandria database describes an optimized crystal structure of Rb5P2Se12. The functional is PBE.

Cell lengths 20.5349, 7.3535, 8.9875 Å; angles 90.00, 99.82, 90.00 degrees
Last column: nearest neighbours and their distance in Å.
Space group C2/m (No. 12)
Inequivalent atoms, fractional coordinates:
Rb: 0.0000 0.0000 0.0000 x2  8 Se 3.86-3.89
Rb: 0.2002 0.5000 0.5354 x4  6 Se 3.46-3.77
Rb: 0.2211 0.0000 0.9323 x4  8 Se 3.46-3.65
P: 0.0000 0.3563 0.5000 x4  1 P 2.11
Se: 0.0933 0.2692 0.7290 x8  1 Se 2.41, 1 P 2.64
Se: 0.1112 0.0000 0.5887 x4  2 Se 2.41
Se: 0.1132 0.5000 0.0968 x4  2 Se 2.37
Se: 0.1564 0.2294 0.2184 x8  1 Se 2.37

## Properties
* spin magnetization: 0.0 μB per cell
* calculated volume: 669 Å³/f.u.
* crystal system: monoclinic
* D(E_F): 0.611 states/eV per atom
* formation energy without anion corrections: -7.7 eV per formula unit